Entry from Alexandria: a relaxed CaZr2VF crystal (PBE+U).

Structure (POSCAR):
```
CaZr2VF
1.0
5.713 0.000 0.000
0.000 5.713 0.000
0.000 0.000 3.940
Ca F Zr V
1 1 2 1
Cartesian
0.000 0.000 0.000
0.000 0.000 1.970
0.000 2.856 0.000
2.856 0.000 0.000
2.856 2.856 1.970
```

Properties
The calculation puts the density of states at the Fermi level at 1.221 states/eV per atom. For the energy, the calculation gives -4.9756 eV per atom. The crystal system is tetragonal.